# 1
VASP calculation (meta-GGA SCAN) on a crystal of CuMo relaxed with PBEsol.

abc: 2.5991 2.5991 7.8927
angles: 90.00 90.00 90.00
Fractional coordinates of all 4 atoms:
Cu 0.2500 0.2500 0.1087
Cu 0.7500 0.7500 0.8913
Mo 0.2500 0.2500 0.6454
Mo 0.7500 0.7500 0.3546

Crystal system   tetragonal
Energy of formation from the pure elements   190.3 meV per atom
SG   P4/nmm, No. 129
Theoretical density   9.93 Mg/m³
Calculated volume   53 Å³/cell

---

# 2
VASP calculation (meta-GGA SCAN) on a crystal of CuMo4 relaxed with PBEsol.

abc: 4.6784 4.6784 4.6784
angles: 101.86 101.86 126.07
Fractional coordinates of all 5 atoms:
Cu 0.0000 0.0000 0.0000
Mo 0.2075 0.6025 0.8100
Mo 0.3975 0.2075 0.6050
Mo 0.6025 0.7925 0.3950
Mo 0.7925 0.3975 0.1900

Crystal system   tetragonal
Energy of formation from the pure elements   328.9 meV per atom
SG   I4/m, No. 87
Theoretical density   10.07 Mg/m³
Calculated volume   74 Å³/cell

---

# 3
VASP calculation (meta-GGA SCAN) on a crystal of CuMo3 relaxed with PBEsol.

abc: 4.4858 4.4858 4.4858
angles: 90.00 90.00 90.00
Fractional coordinates of all 4 atoms:
Cu 0.0000 0.0000 0.0000
Mo 0.0000 0.0000 0.5000
Mo 0.0000 0.5000 0.0000
Mo 0.5000 0.0000 0.0000

Crystal system   cubic
Energy of formation from the pure elements   2901.3 meV per atom
SG   Pm-3m, No. 221
Theoretical density   6.46 Mg/m³
Calculated volume   90 Å³/cell

---

# 4
VASP calculation (meta-GGA SCAN) on a crystal of CuMo relaxed with PBEsol.

abc: 4.7623 4.7623 4.7623
angles: 32.14 32.14 32.14
Fractional coordinates of all 2 atoms:
Cu 0.0000 0.0000 0.0000
Mo 0.5000 0.5000 0.5000

Crystal system   trigonal
Energy of formation from the pure elements   378.4 meV per atom
SG   R-3m, No. 166
Theoretical density   9.75 Mg/m³
Calculated volume   27 Å³/cell

---

# 5
VASP calculation (meta-GGA SCAN) on a crystal of CuMo relaxed with PBEsol.

abc: 4.6282 4.6282 4.8066
angles: 96.71 96.71 31.73
Fractional coordinates of all 4 atoms:
Cu 0.1284 0.1284 0.3849
Cu 0.8716 0.8716 0.6152
Mo 0.3814 0.3814 0.1296
Mo 0.6186 0.6186 0.8704

Crystal system   monoclinic
Energy of formation from the pure elements   259.8 meV per atom
SG   C2/m, No. 12
Theoretical density   9.86 Mg/m³
Calculated volume   54 Å³/cell

---

# 6
VASP calculation (meta-GGA SCAN) on a crystal of CuMoN3 relaxed with PBEsol.

abc: 3.6087 3.6087 3.6087
angles: 90.00 90.00 90.00
Fractional coordinates of all 5 atoms:
Cu 0.0000 0.0000 0.0000
Mo 0.5000 0.5000 0.5000
N 0.0000 0.0000 0.5000
N 0.0000 0.5000 0.0000
N 0.5000 0.0000 0.0000

Crystal system   cubic
SG   Pm-3m, No. 221
Theoretical density   7.12 Mg/m³
Calculated volume   47 Å³/cell
Raw formation energy   1.595 eV per atom

---

# 7
VASP calculation (meta-GGA SCAN) on a crystal of CuNiMoN2 relaxed with PBEsol.

abc: 3.6357 3.6357 4.1710
angles: 90.00 90.00 90.00
Fractional coordinates of all 5 atoms:
Cu 0.0000 0.0000 0.0000
Ni 0.0000 0.0000 0.5000
Mo 0.5000 0.5000 0.5000
N 0.0000 0.5000 0.0000
N 0.5000 0.0000 0.0000

Crystal system   tetragonal
SG   P4/mmm, No. 123
Theoretical density   7.41 Mg/m³
Calculated volume   55 Å³/cell
Raw formation energy   1.757 eV per atom

---

# 8
VASP calculation (meta-GGA SCAN) on a crystal of CuMoN2O relaxed with PBEsol.

abc: 3.9074 3.9074 3.7867
angles: 90.00 90.00 90.00
Fractional coordinates of all 5 atoms:
Cu 0.0000 0.0000 0.0000
Mo 0.5000 0.5000 0.5000
N 0.0000 0.5000 0.5000
N 0.5000 0.0000 0.5000
O 0.5000 0.5000 0.0000

Crystal system   tetragonal
SG   P4/mmm, No. 123
Theoretical density   5.84 Mg/m³
Calculated volume   58 Å³/cell
Raw formation energy   0.159 eV per atom